# 1
# Ca3HfZr2N6, relaxed, DFT PBE-GGA
# **Calculated volume**: 161 Å³ per cell
# **Crystal system**: monoclinic
# **Formation energy from raw total energies**: -1526.5 meV per atom
# **SG**: No. 12
# **DOS at the Fermi energy**: 0.0 states/eV/f.u.
data_Ca3HfZr2N6
_chemical_formula_sum 'Ca3 Hf1 Zr2 N6'
_cell_length_a 3.318
_cell_length_b 6.803
_cell_length_c 7.569
_cell_angle_alpha 104.93
_cell_angle_beta 102.66
_cell_angle_gamma 90.00
_space_group_name_H-M_alt 'P 1'
_space_group_IT_number 1
_space_group_name_Hall 'P 1'
loop_
_atom_site_label
_atom_site_type_symbol
_atom_site_fract_x
_atom_site_fract_y
_atom_site_fract_z
N1 N 0.674 0.565 0.348
N2 N 0.658 0.100 0.315
N3 N 0.007 0.227 0.014
N4 N 0.342 0.900 0.685
N5 N 0.993 0.773 0.986
N6 N 0.326 0.435 0.652
Zr1 Zr 0.166 0.333 0.332
Zr2 Zr 0.834 0.667 0.668
Hf1 Hf 0.500 0.000 0.000
Ca1 Ca 0.834 0.166 0.667
Ca2 Ca 0.166 0.834 0.333
Ca3 Ca 0.500 0.500 0.000



# 2
# Ho6Te8I, relaxed, DFT PBE-GGA
# **Calculated volume**: 535 Å³ per cell
# **Crystal system**: trigonal
# **Formation energy from raw total energies**: -1250.2 meV per atom
# **SG**: No. 147
# **DOS at the Fermi energy**: 5.6 states/eV/f.u.
data_Ho6Te8I
_chemical_formula_sum 'Ho6 Te8 I1'
_cell_length_a 4.430
_cell_length_b 11.810
_cell_length_c 11.810
_cell_angle_alpha 120.00
_cell_angle_beta 90.00
_cell_angle_gamma 90.00
_space_group_name_H-M_alt 'P 1'
_space_group_IT_number 1
_space_group_name_Hall 'P 1'
loop_
_atom_site_label
_atom_site_type_symbol
_atom_site_fract_x
_atom_site_fract_y
_atom_site_fract_z
Te1 Te 0.751 0.047 0.685
Te2 Te 0.751 0.315 0.362
Te3 Te 0.249 0.953 0.315
Te4 Te 0.249 0.685 0.638
Te5 Te 0.250 0.333 0.667
Te6 Te 0.751 0.638 0.953
Te7 Te 0.750 0.667 0.333
Te8 Te 0.249 0.362 0.047
Ho1 Ho 0.750 0.343 0.863
Ho2 Ho 0.250 0.863 0.521
Ho3 Ho 0.250 0.657 0.137
Ho4 Ho 0.750 0.137 0.479
Ho5 Ho 0.250 0.479 0.343
Ho6 Ho 0.750 0.521 0.657
I1 I 0.500 0.000 0.000



# 3
# Rb2ZrRuAu, relaxed, DFT PBE-GGA
# **Calculated volume**: 155 Å³ per cell
# **Crystal system**: tetragonal
# **Formation enthalpy at 0 K**: 1.727 eV per atom
# **SG**: No. 123
# **DOS at the Fermi energy**: 9.4 states/eV/f.u.
data_Rb2ZrRuAu
_chemical_formula_sum 'Rb2 Zr1 Ru1 Au1'
_cell_length_a 5.368
_cell_length_b 5.386
_cell_length_c 5.368
_cell_angle_alpha 90.00
_cell_angle_beta 90.00
_cell_angle_gamma 90.00
_space_group_name_H-M_alt 'P 1'
_space_group_IT_number 1
_space_group_name_Hall 'P 1'
loop_
_atom_site_label
_atom_site_type_symbol
_atom_site_fract_x
_atom_site_fract_y
_atom_site_fract_z
Rb1 Rb 0.500 0.000 0.000
Rb2 Rb 0.000 0.000 0.500
Ru1 Ru 0.000 0.000 0.000
Au1 Au 0.000 0.500 0.000
Zr1 Zr 0.500 0.500 0.500



# 4
# LiAlGe, relaxed, DFT PBE-GGA
# **Calculated volume**: 53 Å³ per cell
# **Crystal system**: hexagonal
# **Formation enthalpy at 0 K**: -0.124 eV per atom
# **SG**: No. 187
# **DOS at the Fermi energy**: 0.7 states/eV/f.u.
data_LiAlGe
_chemical_formula_sum 'Li1 Al1 Ge1'
_cell_length_a 3.187
_cell_length_b 4.380
_cell_length_c 4.380
_cell_angle_alpha 120.00
_cell_angle_beta 90.00
_cell_angle_gamma 90.00
_space_group_name_H-M_alt 'P 1'
_space_group_IT_number 1
_space_group_name_Hall 'P 1'
loop_
_atom_site_label
_atom_site_type_symbol
_atom_site_fract_x
_atom_site_fract_y
_atom_site_fract_z
Ge1 Ge 0.166 0.000 0.000
Li1 Li 0.667 0.667 0.333
Al1 Al 0.167 0.333 0.667



What did the third record say?
# Rb2ZrRuAu, relaxed, DFT PBE-GGA
# **Calculated volume**: 155 Å³ per cell
# **Crystal system**: tetragonal
# **Formation enthalpy at 0 K**: 1.727 eV per atom
# **SG**: No. 123
# **DOS at the Fermi energy**: 9.4 states/eV/f.u.
data_Rb2ZrRuAu
_chemical_formula_sum 'Rb2 Zr1 Ru1 Au1'
_cell_length_a 5.368
_cell_length_b 5.386
_cell_length_c 5.368
_cell_angle_alpha 90.00
_cell_angle_beta 90.00
_cell_angle_gamma 90.00
_space_group_name_H-M_alt 'P 1'
_space_group_IT_number 1
_space_group_name_Hall 'P 1'
loop_
_atom_site_label
_atom_site_type_symbol
_atom_site_fract_x
_atom_site_fract_y
_atom_site_fract_z
Rb1 Rb 0.500 0.000 0.000
Rb2 Rb 0.000 0.000 0.500
Ru1 Ru 0.000 0.000 0.000
Au1 Au 0.000 0.500 0.000
Zr1 Zr 0.500 0.500 0.500



Q: Which formula does entry 1 have?
A: Ca3HfZr2N6